First-principles (PBE) data for crystalline PmGePd at its relaxed geometry, as listed in OQMD.

Values from the calculation:
symmetry = F-43m (216)
energy above the most stable polymorph in this dataset = 0.230 eV/atom

Lattice parameters (Å, degrees): 4.6335 4.6335 4.6335 60.00 60.00 60.00
Last column: nearest neighbours and their distance in Å.
Fractional coordinates of all 3 atoms:
Ge (0.2500, 0.2500, 0.2500)  4 Pd 2.84
Pm (0.7500, 0.7500, 0.7500)  4 Pd 2.84
Pd (0.0000, 0.0000, 0.0000)  4 Ge 2.84, 4 Pm 2.84

=====

First-principles (PBE) data for crystalline Cu9Ag at its relaxed geometry, as listed in OQMD.

Values from the calculation:
symmetry = C2/m (12)
energy of formation = 0.04 eV/atom
energy above the most stable polymorph in this dataset = 0.006 eV/atom

Lattice parameters (Å, degrees): 9.1597 9.1597 5.2551 98.25 98.25 16.59
Last column: nearest neighbours and their distance in Å.
Fractional coordinates of all 10 atoms:
Cu (0.2029, 0.2029, 0.6024)  12 Cu 2.52-2.64
Cu (0.6055, 0.6055, 0.3121)  10 Cu 2.53-2.73, 2 Ag 2.68
Cu (0.3946, 0.3946, 0.2066)  10 Cu 2.53-2.73, 2 Ag 2.68
Cu (0.6054, 0.6054, 0.7934)  10 Cu 2.53-2.73, 2 Ag 2.68
Cu (0.3945, 0.3945, 0.6879)  10 Cu 2.53-2.73, 2 Ag 2.68
Cu (0.2006, 0.2006, 0.0994)  12 Cu 2.54-2.64
Cu (0.0000, 0.0000, 0.5000)  2 Ag 2.63, 10 Cu 2.63-2.64
Ag (0.0000, 0.0000, 0.0000)  10 Cu 2.63-2.68, 2 Ag 2.64
Cu (0.7994, 0.7994, 0.9006)  12 Cu 2.54-2.64
Cu (0.7971, 0.7971, 0.3976)  12 Cu 2.52-2.64

=====

First-principles (PBE) data for crystalline Zr2Sn2O5 at its relaxed geometry, as listed in OQMD.

Values from the calculation:
symmetry = P4/mmm (123)
energy above the most stable polymorph in this dataset = 0.852 eV/atom

Lattice parameters (Å, degrees): 6.5725 4.2147 4.2147 90.00 90.00 90.00
Last column: nearest neighbours and their distance in Å.
Fractional coordinates of all 9 atoms:
O (0.7459, 0.0000, 0.5000)  2 Sn 2.14
O (0.2541, 0.0000, 0.5000)  2 Sn 2.14
Sn (0.7986, 0.5000, 0.5000)  5 O 1.96-2.14
O (0.2541, 0.5000, 0.0000)  2 Sn 2.14
Zr (0.5000, 0.0000, 0.0000)  8 O 2.66
O (0.5000, 0.5000, 0.5000)  2 Sn 1.96
O (0.7459, 0.5000, 0.0000)  2 Sn 2.14
Sn (0.2014, 0.5000, 0.5000)  5 O 1.96-2.14
Zr (0.0000, 0.0000, 0.0000)  8 O 2.69

=====

First-principles (PBE) data for crystalline Ni2Ge3Sb2 at its relaxed geometry, as listed in OQMD.

Values from the calculation:
DFT total energy = -4.693 eV per atom
symmetry = R3m (160)

Lattice parameters (Å, degrees): 8.7021 8.7021 8.7021 28.38 28.38 28.38
Last column: nearest neighbours and their distance in Å.
Fractional coordinates of all 7 atoms:
Ni (0.2402, 0.2402, 0.2402)  4 Ge 2.29-2.55
Ge (0.3316, 0.3316, 0.3316)  1 Ni 2.29
Ge (0.8805, 0.8805, 0.8805)  4 Ni 2.52-2.55
Sb (0.4781, 0.4781, 0.4781)  3 Ni 2.59
Ni (0.7798, 0.7798, 0.7798)  1 Ge 2.52, 6 Sb 2.59-2.79
Ge (0.6039, 0.6039, 0.6039)  3 Ni 2.58, 3 Ge 2.84
Sb (0.0608, 0.0608, 0.0608)  3 Ni 2.79, 3 Ge 2.92

=====

Number 1: volume 70.34 Å³ per cell. Number 2: volume 124.54 Å³ per cell. Number 3: volume 116.75 Å³ per cell. Number 4: volume 131.59 Å³ per cell.